(1)
ReH20C8S4N | the Open Quantum Materials Database | PBE | optimized geometry; crystal system = monoclinic; raw total energy = -0.19956 Ha/atom
1.0
-2.321 6.864 3.186
-12.122 -4.302 0.440
2.320 -6.036 4.919
C H N Re S
16 40 2 2 8
Direct
0.622 0.035 0.009
0.062 0.423 0.033
0.522 0.447 0.050
0.909 0.917 0.137
0.950 0.106 0.204
0.883 0.207 0.246
0.798 0.993 0.348
0.015 0.481 0.470
0.985 0.981 0.530
0.202 0.493 0.652
0.117 0.707 0.754
0.050 0.606 0.796
0.091 0.417 0.863
0.478 0.947 0.950
0.938 0.923 0.967
0.378 0.535 0.991
0.959 0.484 0.019
0.001 0.349 0.043
0.567 0.103 0.051
0.447 0.923 0.063
0.960 0.113 0.074
0.477 0.378 0.099
0.354 0.560 0.108
0.815 0.852 0.126
0.748 0.235 0.127
0.198 0.435 0.165
0.657 0.475 0.168
0.049 0.905 0.264
0.996 0.264 0.274
0.094 0.084 0.318
0.711 0.923 0.318
0.713 0.059 0.356
0.054 0.467 0.360
0.865 0.204 0.372
0.926 0.552 0.431
0.928 0.415 0.472
0.072 0.915 0.528
0.074 0.052 0.569
0.135 0.704 0.628
0.946 0.967 0.640
0.287 0.559 0.644
0.289 0.423 0.682
0.906 0.584 0.682
0.004 0.764 0.726
0.951 0.405 0.736
0.343 0.975 0.832
0.802 0.935 0.835
0.252 0.735 0.873
0.185 0.352 0.874
0.646 0.060 0.892
0.523 0.878 0.901
0.040 0.613 0.926
0.553 0.423 0.937
0.433 0.603 0.949
0.999 0.849 0.957
0.041 0.984 0.981
0.820 0.013 0.174
0.180 0.513 0.826
0.474 0.755 0.462
0.526 0.255 0.538
0.393 0.196 0.254
0.192 0.687 0.300
0.650 0.718 0.335
0.445 0.921 0.468
0.555 0.421 0.532
0.350 0.218 0.665
0.808 0.187 0.700
0.607 0.696 0.746

---

(2)
HfCoSbAu | the Open Quantum Materials Database | PBE | optimized geometry; crystal system = cubic; raw total energy = -0.22672 Ha/atom
1.0
0.000 3.310 3.310
3.310 0.000 3.310
3.310 3.310 0.000
Au Co Hf Sb
1 1 1 1
Direct
0.500 0.500 0.500
0.750 0.750 0.750
0.250 0.250 0.250
0.000 0.000 0.000

---

(3)
ScSiIr | the Open Quantum Materials Database | PBE | optimized geometry; crystal system = cubic; raw total energy = -0.27872 Ha/atom
1.0
0.000 3.025 3.025
3.025 0.000 3.025
3.025 3.025 0.000
Ir Sc Si
1 1 1
Direct
0.000 0.000 0.000
0.250 0.250 0.250
0.750 0.750 0.750

---

(4)
Ba2FeS3 | the Open Quantum Materials Database | PBE | optimized geometry; crystal system = orthorhombic; raw total energy = -0.20429 Ha/atom
1.0
-6.686 3.700 -4.342
0.165 -3.146 -2.935
-11.079 -9.193 9.228
Ba Fe S
8 4 12
Direct
0.256 0.250 0.046
0.913 0.750 0.212
0.413 0.750 0.288
0.756 0.250 0.454
0.244 0.750 0.546
0.587 0.250 0.712
0.087 0.250 0.788
0.744 0.750 0.954
0.632 0.250 0.135
0.132 0.250 0.365
0.868 0.750 0.635
0.368 0.750 0.865
0.863 0.250 0.071
0.514 0.750 0.105
0.173 0.250 0.231
0.673 0.250 0.269
0.014 0.750 0.395
0.363 0.250 0.429
0.637 0.750 0.571
0.986 0.250 0.605
0.327 0.750 0.731
0.827 0.750 0.769
0.486 0.250 0.895
0.137 0.750 0.929

---

(5)
BaHoCuSe2S | the Open Quantum Materials Database | PBE | optimized geometry; crystal system = orthorhombic; raw total energy = -0.19066 Ha/atom
1.0
2.055 -7.001 0.000
2.055 7.001 0.000
0.000 0.000 10.353
Ba Cu Ho S Se
2 2 2 2 4
Direct
0.237 0.763 0.250
0.763 0.237 0.750
0.972 0.028 0.250
0.028 0.972 0.750
0.500 0.500 0.000
0.500 0.500 0.500
0.562 0.438 0.250
0.438 0.562 0.750
0.864 0.136 0.060
0.864 0.136 0.440
0.136 0.864 0.560
0.136 0.864 0.940

---

(6)
AcErBi | the Open Quantum Materials Database | PBE | optimized geometry; crystal system = cubic; raw total energy = -0.14391 Ha/atom
1.0
-5.345 -0.690 -1.611
-3.777 4.052 0.977
-2.059 3.016 -4.278
Ac Bi Er
1 1 1
Direct
0.000 0.000 0.000
0.250 0.250 0.250
0.750 0.750 0.750